[1]
This record from Alexandria describes a geometry-optimized Zn2AgRh structure. The functional is GGA-PBE.

Cell lengths 4.108, 4.109, 3.501 Å; angles 90.00, 90.00, 90.00 degrees
Element x y z (fractional)
1 Rh 0.000 0.500 0.500
2 Zn 0.500 0.500 0.000
3 Zn 0.000 0.000 0.000
4 Ag 0.500 0.000 0.500

- Energy of formation: -0.25 eV per atom
- Crystal system: tetragonal

=====

[2]
This record from Alexandria describes a geometry-optimized ZnAgRh2 structure. The functional is GGA-PBE.

Cell lengths 4.285, 2.760, 5.300 Å; angles 74.83, 90.00, 90.00 degrees
Element x y z (fractional)
1 Rh 0.000 0.096 0.020
2 Rh 0.000 0.404 0.480
3 Ag 0.500 0.750 0.750
4 Zn 0.500 0.250 0.250

- Energy of formation: 0.04 eV per atom
- Crystal system: monoclinic

=====

[3]
This record from Alexandria describes a geometry-optimized ZnAgRh2 structure. The functional is GGA-PBE.

Cell lengths 4.859, 4.859, 4.714 Å; angles 76.17, 76.17, 33.63 degrees
Element x y z (fractional)
1 Rh 0.014 0.014 0.984
2 Rh 0.486 0.486 0.516
3 Ag 0.250 0.250 0.250
4 Zn 0.750 0.750 0.750

- Energy of formation: -0.03 eV per atom
- Crystal system: monoclinic

=====

[4]
This record from Alexandria describes a geometry-optimized Zn2AgRh2 structure. The functional is GGA-PBE.

Cell lengths 3.722, 3.722, 6.516 Å; angles 73.40, 73.40, 90.00 degrees
Element x y z (fractional)
1 Zn 0.602 0.602 0.796
2 Zn 0.398 0.398 0.204
3 Rh 0.250 0.750 0.500
4 Rh 0.750 0.250 0.500
5 Ag 0.000 0.000 0.000

- Energy of formation: 0.16 eV per atom
- Crystal system: tetragonal

=====

[5]
This record from Alexandria describes a geometry-optimized ZnAgRh3 structure. The functional is GGA-PBE.

Cell lengths 4.819, 4.819, 4.819 Å; angles 90.00, 90.00, 90.00 degrees
Each line ends with the local moment (μB).
Element x y z (fractional)
1 Rh 0.000 0.500 0.000  0.77
2 Rh 0.500 0.000 0.000  0.52
3 Rh 0.000 0.000 0.500  1.14
4 Zn 0.500 0.500 0.500  0.02
5 Ag 0.000 0.000 0.000  0.06

- Energy of formation: 1.70 eV per atom
- Crystal system: cubic

=====

[6]
This record from Alexandria describes a geometry-optimized ZnAg3Rh structure. The functional is GGA-PBE.

Cell lengths 4.694, 4.694, 4.694 Å; angles 90.00, 90.00, 90.00 degrees
Element x y z (fractional)
1 Rh 0.500 0.500 0.500
2 Ag 0.000 0.500 0.000
3 Ag 0.000 0.000 0.500
4 Ag 0.500 0.000 0.000
5 Zn 0.000 0.000 0.000

- Energy of formation: 0.89 eV per atom
- Crystal system: cubic

=====

[7]
This record from Alexandria describes a geometry-optimized ZnAgRh2 structure. The functional is GGA-PBE.

Cell lengths 4.754, 4.754, 4.754 Å; angles 130.93, 130.93, 71.92 degrees
Element x y z (fractional)
1 Rh 0.000 0.000 0.000
2 Rh 0.500 0.500 0.000
3 Zn 0.250 0.750 0.500
4 Ag 0.750 0.250 0.500

- Energy of formation: 0.08 eV per atom
- Crystal system: tetragonal

=====

[8]
This record from Alexandria describes a geometry-optimized Zn2AgRh structure. The functional is GGA-PBE.

Cell lengths 5.250, 5.250, 5.250 Å; angles 146.19, 131.35, 60.56 degrees
Element x y z (fractional)
1 Zn 0.757 0.257 0.500
2 Zn 0.002 0.002 0.000
3 Rh 0.236 0.736 0.500
4 Ag 0.504 0.504 0.000

- Energy of formation: -0.17 eV per atom
- Crystal system: orthorhombic

=====

Q: Which DOS at the Fermi energy values were calculated for the entries above? A: 0.7, 4.5, 3.6, 5.8, 9.6, 3.6, 6.6, 1.4, in states/eV/cell.